Density functional theory data (PBE) for an optimized crystal structure of Ge2PRuBr.

Unit cell a=5.032 b=4.512 c=5.032 alpha=90.00 beta=90.00 gamma=90.00
Each line ends with the local moment (μB).
Fractional positions:
Ru1 0.000 0.500 0.000  1.34
Ge1 0.000 0.000 0.500  0.02
Ge2 0.500 0.000 0.000  0.00
Br1 0.500 0.500 0.500  0.09
P1 0.000 0.000 0.000  0.00

Results
- Symmetry: No. 123
- DFT total energy: -4.46 eV per atom
- Formation energy (no corrections): 656 meV/atom